# KAg2Os (PBE, optimized geometry)
data_KAg2Os
_chemical_formula_sum 'K2 Ag4 Os2'
_cell_length_a 7.019
_cell_length_b 8.065
_cell_length_c 2.708
_cell_angle_alpha 90.00
_cell_angle_beta 90.00
_cell_angle_gamma 90.00
_symmetry_space_group_name_H-M 'P 1'
_symmetry_Int_Tables_number 1
loop_
_symmetry_equiv_pos_as_xyz
'x,y,z'
loop_
_atom_site_label
_atom_site_type_symbol
_atom_site_fract_x
_atom_site_fract_y
_atom_site_fract_z
K1 K 0.000 0.000 0.000
K2 K 0.500 0.500 0.000
Ag1 Ag 0.250 0.250 0.500
Ag2 Ag 0.250 0.750 0.500
Ag3 Ag 0.750 0.250 0.500
Ag4 Ag 0.750 0.750 0.500
Os1 Os 0.000 0.500 0.000
Os2 Os 0.500 0.000 0.000
# Energy above the most stable polymorph in this dataset ... 55.0 meV per atom
# Energy of formation ... 75.8 kJ per mole of atoms
# Size of the total moment ... 0.0 μB/cell